Na2SmMoF8 PBE with a Hubbard U relaxed; magnetization = 3.00 μB per formula unit; space group = No. 10; ρ = 4.4 g cm⁻³; E = -0.205 hartree per atom
1.0
4.033 0.000 0.000
0.000 7.449 0.000
-0.246 0.000 5.542
Na Sm Mo F
2 1 1 8
direct
0.000 0.237 0.000
0.000 0.763 0.000
0.500 0.500 0.500
0.500 0.000 0.500
0.012 0.500 0.265
0.074 0.000 0.269
0.447 0.236 0.726
0.447 0.764 0.726
0.553 0.236 0.274
0.553 0.764 0.274
0.926 0.000 0.731
0.988 0.500 0.735